Entry 1:
This record from the Alexandria database describes a relaxed Hf2AsH3 crystal. The functional is PBE-GGA.

Values from the calculation:
- crystal system = monoclinic

Cell: 12.931 3.382 6.602 Å, 90.00 111.70 90.00°
Space group C2/m (No. 12)
Inequivalent atoms, fractional coordinates:
1 Hf 0.030 0.000 0.252 x4
2 Hf 0.200 0.500 0.710 x4
3 As 0.130 0.500 0.058 x4
4 H 0.071 0.500 0.431 x4
5 H 0.107 0.000 0.675 x4
6 H 0.192 0.000 0.476 x4

Entry 2:
This record from the Alexandria database describes a relaxed Hf4As5H crystal. The functional is PBE-GGA.

Values from the calculation:
- crystal system = monoclinic

Cell: 14.280 3.653 7.436 Å, 90.00 92.86 90.00°
Space group C2/m (No. 12)
Inequivalent atoms, fractional coordinates:
1 Hf 0.016 0.000 0.242 x4
2 Hf 0.143 0.500 0.959 x4
3 As 0.000 0.500 0.500 x2
4 As 0.165 0.000 0.661 x4
5 As 0.198 0.000 0.216 x4
6 H 0.000 0.500 0.000 x2

Entry 3:
This record from the Alexandria database describes a relaxed Hf4AsH crystal. The functional is PBE-GGA.

Values from the calculation:
- crystal system = monoclinic

Cell: 8.253 12.538 5.911 Å, 90.00 134.09 90.00°
Space group C2/c (No. 15)
Inequivalent atoms, fractional coordinates:
1 Hf 0.156 0.202 0.161 x8
2 Hf 0.235 0.048 0.836 x8
3 As 0.000 0.380 0.250 x4
4 H 0.000 0.137 0.750 x4

Entry 4:
This record from the Alexandria database describes a relaxed HfAs2H crystal. The functional is PBE-GGA.

Values from the calculation:
- crystal system = cubic

Cell: 6.464 6.464 6.464 Å, 90.00 90.00 90.00°
Space group Fm-3m (No. 225)
Inequivalent atoms, fractional coordinates:
1 Hf 0.000 0.000 0.000 x4
2 As 0.250 0.250 0.250 x8
3 H 0.000 0.000 0.500 x4

Spin magnetization values, unit μB/cell, following the record order: 0.0; 0.0; 0.0; 2.9.
Density of states at the Fermi level values, unit states/eV per cell, following the record order: 5.38; 8.05; 19.26; 10.13.
DFT total energy values, unit eV per atom, following the record order: -6.310; -7.042; -8.351; -5.380.